This record from Alexandria via LeMat-Bulk describes a relaxed Ba6Sb2PBr crystal. The functional is PBE-GGA.

Cell lengths 8.013, 9.292, 11.829 Å; angles 90.00, 88.70, 90.00 degrees
Positions (direct):
Ba 0.648 0.046 0.258
P 0.500 0.000 0.500
Ba 0.157 0.200 0.070
Br 0.500 0.000 0.000
Ba 0.678 0.331 0.930
Sb 0.056 0.887 0.248
Sb 0.556 0.613 0.748
Br 0.000 0.500 0.500
Ba 0.148 0.454 0.758
Ba 0.178 0.169 0.430
Sb 0.444 0.387 0.252
Ba 0.843 0.800 0.930
Ba 0.822 0.831 0.570
Ba 0.352 0.954 0.742
Sb 0.944 0.113 0.752
Ba 0.852 0.546 0.242
Ba 0.343 0.700 0.430
P 0.000 0.500 0.000
Ba 0.322 0.669 0.070
Ba 0.657 0.300 0.570

Space group: P2_1/c
N(E_F) (states/eV/f.u.): 4.70

***

This record from Alexandria via LeMat-Bulk describes a relaxed Ba8SbP3Br3 crystal. The functional is PBE-GGA.

Cell lengths 9.582, 9.581, 9.642 Å; angles 119.82, 90.00, 120.00 degrees
Positions (direct):
Sb 0.000 0.000 0.500
Ba 0.247 0.973 0.720
Ba 0.753 0.027 0.280
Ba 0.726 0.973 0.720
P 0.500 0.500 0.500
Ba 0.262 0.524 0.286
Br 0.000 0.000 0.000
P 0.500 0.000 0.500
Ba 0.738 0.476 0.714
Br 0.000 0.500 0.000
Ba 0.274 0.027 0.280
P 0.000 0.500 0.500
Br 0.500 0.500 0.000
Ba 0.753 0.506 0.280
Ba 0.247 0.494 0.720

Space group: R-3m
N(E_F) (states/eV/f.u.): 0.78

***

This record from Alexandria via LeMat-Bulk describes a relaxed Ba4SbPBr2 crystal. The functional is PBE-GGA.

Cell lengths 4.857, 8.487, 8.478 Å; angles 70.54, 90.00, 90.00 degrees
Positions (direct):
P 0.000 0.500 0.500
Ba 0.000 0.723 0.744
Br 0.000 0.000 0.000
Ba 0.000 0.277 0.256
Ba 0.500 0.717 0.273
Sb 0.500 0.500 0.000
Ba 0.500 0.283 0.727
Br 0.500 0.000 0.500

Space group: P2/m

***

This record from Alexandria via LeMat-Bulk describes a relaxed BaPSe2Br crystal. The functional is PBE-GGA.

Cell lengths 5.098, 5.098, 5.203 Å; angles 90.00, 90.00, 90.00 degrees
Positions (direct):
Se 0.000 0.500 0.000
Br 0.000 0.000 0.500
Ba 0.500 0.500 0.500
P 0.000 0.000 0.000
Se 0.500 0.000 0.000

Space group: P4/mmm
N(E_F) (states/eV/f.u.): 2.67

***

This record from Alexandria via LeMat-Bulk describes a relaxed Ba8P3SeBr4 crystal. The functional is PBE-GGA.

Cell lengths 9.422, 9.593, 9.422 Å; angles 119.42, 120.00, 90.00 degrees
Positions (direct):
Ba 0.261 0.284 0.522
P 0.500 0.500 0.000
Ba 0.739 0.716 0.478
Ba 0.270 0.283 0.027
Ba 0.243 0.717 0.973
P 0.500 0.500 0.500
Ba 0.757 0.283 0.513
Br 0.500 0.000 0.500
Ba 0.757 0.283 0.027
P 0.000 0.500 0.500
Ba 0.243 0.717 0.487
Ba 0.730 0.717 0.973
Br 0.000 0.000 0.500
Br 0.500 0.000 0.000
Se 0.000 0.500 0.000
Br 0.000 0.000 0.000

Space group: R-3m
N(E_F) (states/eV/f.u.): 3.77

***

This record from Alexandria via LeMat-Bulk describes a relaxed Ba6P2Se3Br crystal. The functional is PBE-GGA.

Cell lengths 4.643, 9.607, 10.583 Å; angles 103.12, 102.67, 90.00 degrees
Positions (direct):
Se 0.838 0.164 0.677
Ba 0.670 0.582 0.341
Ba 0.330 0.418 0.659
Ba 0.996 0.732 0.992
Ba 0.004 0.268 0.008
P 0.164 0.329 0.327
Se 0.500 0.500 0.000
Br 0.500 0.000 0.000
P 0.836 0.671 0.673
Ba 0.326 0.907 0.652
Se 0.162 0.836 0.323
Ba 0.674 0.093 0.348

Space group: C2/m
N(E_F) (states/eV/f.u.): 10.34

***

This record from Alexandria via LeMat-Bulk describes a relaxed Ba6PSe3Br2 crystal. The functional is PBE-GGA.

Cell lengths 8.204, 8.204, 8.149 Å; angles 99.67, 99.67, 119.91 degrees
Positions (direct):
Br 0.666 0.334 0.000
Se 0.500 0.500 0.500
Se 0.171 0.829 0.500
Ba 0.914 0.601 0.743
Se 0.829 0.171 0.500
Ba 0.399 0.086 0.257
Ba 0.226 0.226 0.744
Ba 0.601 0.914 0.743
Ba 0.086 0.399 0.257
P 0.000 0.000 0.000
Ba 0.774 0.774 0.256
Br 0.334 0.666 0.000

Space group: C2/m
N(E_F) (states/eV/f.u.): 3.67

***

This record from Alexandria via LeMat-Bulk describes a relaxed BaPSe2Br crystal. The functional is PBE-GGA.

Cell lengths 6.208, 6.208, 5.985 Å; angles 90.00, 90.00, 90.00 degrees
Positions (direct):
P 0.500 0.500 0.500
Se 0.000 0.500 0.000
Se 0.500 0.000 0.000
Ba 0.000 0.000 0.000
Br 0.000 0.000 0.500

Space group: P4/mmm
N(E_F) (states/eV/f.u.): 13.03

***

| no. | E (eV per cell) | size of the total moment (μB/atom) |
| --- | --- | --- |
| 1 | -75.64 | 0.1950 |
| 2 | -61.61 | 0.0669 |
| 3 | -32.78 | 0.0000 |
| 4 | -20.00 | 0.0000 |
| 5 | -68.15 | 0.0000 |
| 6 | -53.97 | 0.0909 |
| 7 | -52.66 | 0.0000 |
| 8 | -12.93 | 0.0001 |